First-principles (PBE-GGA) data for an optimized crystal structure of Ac5ErMg4, as listed in Alexandria via LeMat-Bulk.

Unit cell a=4.0899 b=4.0899 c=21.2509 alpha=90.00 beta=90.00 gamma=90.00
Closest atoms and distances in Å follow each position.
Fractional coordinates of all 10 atoms:
Ac (0.0000, 0.0000, 0.0000)  8 Mg 3.55
Ac (0.0000, 0.0000, 0.1945)  8 Mg 3.56-3.57
Ac (0.0000, 0.0000, 0.3896)  4 Mg 3.54, 4 Er 3.72
Ac (0.0000, 0.0000, 0.6104)  4 Mg 3.54, 4 Er 3.72
Ac (0.0000, 0.0000, 0.8055)  8 Mg 3.56-3.57
Er (0.5000, 0.5000, 0.5000)  8 Ac 3.72, 4 Er 4.09
Mg (0.5000, 0.5000, 0.0970)  8 Ac 3.55-3.56
Mg (0.5000, 0.5000, 0.2932)  8 Ac 3.54-3.57
Mg (0.5000, 0.5000, 0.7068)  8 Ac 3.54-3.57
Mg (0.5000, 0.5000, 0.9030)  8 Ac 3.55-3.56

## Properties
The value obtained for the final energy is -3.193 eV/atom. The total magnetization is 0.000 μB/atom. The formation energy is -0.0449 eV/atom.